# TiGeH

Crystalline TiGeH at its relaxed geometry (GGA-PBE, Alexandria via LeMat-Bulk).

Properties
Symmetry: Pnma (62)
Crystal system: orthorhombic

Structure (POSCAR):
```
TiGeH
1.0
2.955 0.000 0.000
0.000 5.774 0.000
0.000 0.000 8.530
Ti Ge H
4 4 4
Direct
0.750 0.395 0.254
0.750 0.105 0.754
0.250 0.895 0.246
0.250 0.605 0.746
0.250 0.263 0.000
0.250 0.237 0.500
0.750 0.763 0.500
0.750 0.737 0.000
0.250 0.922 0.759
0.250 0.578 0.259
0.750 0.422 0.741
0.750 0.078 0.241
```

=====

# TiGe2H2

Crystalline TiGe2H2 at its relaxed geometry (GGA-PBE, Alexandria via LeMat-Bulk).

Properties
Symmetry: P4/mbm (127)
Crystal system: tetragonal

Structure (POSCAR):
```
TiGe2H2
1.0
-6.000 0.512 0.654
-0.829 -4.034 -4.443
0.031 -2.308 2.090
H Ge Ti
4 4 2
Direct
0.295 0.795 0.000
0.795 0.705 0.000
0.705 0.205 0.000
0.205 0.295 0.000
0.148 0.648 0.500
0.648 0.852 0.500
0.852 0.352 0.500
0.352 0.148 0.500
0.000 0.000 0.000
0.500 0.500 0.000
```

=====

# TiGeH2

Crystalline TiGeH2 at its relaxed geometry (GGA-PBE, Alexandria via LeMat-Bulk).

Properties
Symmetry: I-42d (122)
Crystal system: tetragonal

Structure (POSCAR):
```
TiGeH2
1.0
3.752 0.000 0.000
0.000 3.752 0.000
1.876 1.876 5.853
H Ge Ti
4 2 2
Direct
0.528 0.125 0.250
0.222 0.625 0.250
0.375 0.472 0.750
0.875 0.778 0.750
0.000 0.000 0.000
0.750 0.250 0.500
0.500 0.500 0.000
0.250 0.750 0.500
```

=====

# Ti8GeH6

Crystalline Ti8GeH6 at its relaxed geometry (GGA-PBE, Alexandria via LeMat-Bulk).

Properties
Symmetry: R-3 (148)
Crystal system: trigonal

Structure (POSCAR):
```
Ti8GeH6
1.0
5.511 -0.156 -0.161
-0.327 5.504 -0.161
-0.327 -0.338 5.496
Ti Ge H
8 1 6
Direct
0.687 0.687 0.687
0.313 0.313 0.313
0.570 0.903 0.235
0.903 0.235 0.570
0.235 0.570 0.903
0.430 0.097 0.765
0.097 0.765 0.430
0.765 0.430 0.097
0.000 0.000 0.000
0.525 0.430 0.826
0.430 0.826 0.525
0.826 0.525 0.430
0.475 0.570 0.174
0.570 0.174 0.475
0.174 0.475 0.570
```

=====

# Ti5Ge4H

Crystalline Ti5Ge4H at its relaxed geometry (GGA-PBE, Alexandria via LeMat-Bulk).

Properties
Symmetry: I4 (79)
Crystal system: tetragonal

Structure (POSCAR):
```
Ti5Ge4H
1.0
-2.512 4.005 -2.097
-6.198 -0.382 0.317
-1.165 4.670 3.936
Ti Ge H
5 4 1
Direct
0.916 0.395 0.806
0.311 0.806 0.605
0.722 0.194 0.395
0.117 0.605 0.194
0.377 0.000 0.000
0.419 0.392 0.799
0.811 0.799 0.608
0.218 0.201 0.392
0.610 0.608 0.201
0.009 0.000 0.000
```

=====

# Ti7Ge2H2

Crystalline Ti7Ge2H2 at its relaxed geometry (GGA-PBE, Alexandria via LeMat-Bulk).

Properties
Symmetry: C2/m (12)
Crystal system: monoclinic

Structure (POSCAR):
```
Ti7Ge2H2
1.0
5.451 -0.032 -0.037
-0.415 5.385 -0.133
-0.415 -0.848 5.319
Ti Ge H
7 2 2
Direct
0.680 0.845 0.496
0.320 0.504 0.155
0.320 0.155 0.504
0.680 0.496 0.845
0.500 0.000 0.000
0.153 0.671 0.671
0.847 0.329 0.329
0.000 0.168 0.832
0.000 0.832 0.168
0.500 0.263 0.263
0.500 0.737 0.737
```

=====

# Ti2Ge2H

Crystalline Ti2Ge2H at its relaxed geometry (GGA-PBE, Alexandria via LeMat-Bulk).

Properties
Symmetry: Cmc2_1 (36)
Crystal system: orthorhombic

Structure (POSCAR):
```
Ti2Ge2H
1.0
3.077 0.000 0.000
0.000 6.963 0.000
-1.538 0.000 6.730
Ti Ge H
4 4 2
Direct
0.456 0.376 0.913
0.865 0.054 0.730
0.135 0.554 0.270
0.544 0.876 0.087
0.918 0.690 0.836
0.786 0.420 0.571
0.214 0.920 0.429
0.082 0.190 0.164
0.435 0.095 0.871
0.565 0.595 0.129
```

=====

# Ti2Ge2H

Crystalline Ti2Ge2H at its relaxed geometry (GGA-PBE, Alexandria via LeMat-Bulk).

Properties
Symmetry: P4/mbm (127)
Crystal system: tetragonal

Structure (POSCAR):
```
Ti2Ge2H
1.0
-3.605 -4.545 0.310
1.035 -1.202 -5.589
3.222 -2.478 1.130
H Ge Ti
2 4 4
Direct
0.000 0.000 0.000
0.500 0.500 0.000
0.155 0.655 0.500
0.655 0.845 0.500
0.845 0.345 0.500
0.345 0.155 0.500
0.335 0.835 0.000
0.835 0.665 0.000
0.665 0.165 0.000
0.165 0.335 0.000
```

=====

# Ti3Ge2H2

Crystalline Ti3Ge2H2 at its relaxed geometry (GGA-PBE, Alexandria via LeMat-Bulk).

Properties
Symmetry: P2_1/c (14)
Crystal system: monoclinic

Structure (POSCAR):
```
Ti3Ge2H2
1.0
5.329 0.000 0.218
0.000 7.422 0.000
2.516 0.000 4.614
Ti Ge H
6 4 4
Direct
0.500 0.500 0.000
0.000 0.000 0.000
0.623 0.135 0.721
0.877 0.635 0.279
0.123 0.365 0.721
0.377 0.865 0.279
0.910 0.726 0.766
0.410 0.774 0.766
0.590 0.226 0.234
0.090 0.274 0.234
0.510 0.374 0.686
0.990 0.874 0.314
0.010 0.126 0.686
0.490 0.626 0.314
```

=====

# TiGe2H2

Crystalline TiGe2H2 at its relaxed geometry (GGA-PBE, Alexandria via LeMat-Bulk).

Properties
Symmetry: I4/mmm (139)
Crystal system: tetragonal

Structure (POSCAR):
```
TiGe2H2
1.0
-3.725 0.767 -0.070
-0.630 -2.836 2.455
-1.697 1.586 4.343
H Ge Ti
2 2 1
Direct
0.453 0.453 0.095
0.547 0.547 0.905
0.750 0.250 0.500
0.250 0.750 0.500
0.000 0.000 0.000
```

=====

# TiGeH

Crystalline TiGeH at its relaxed geometry (GGA-PBE, Alexandria via LeMat-Bulk).

Properties
Symmetry: P3m1 (156)
Crystal system: trigonal

Structure (POSCAR):
```
TiGeH
1.0
3.924 0.000 0.000
0.000 3.229 0.000
0.000 -1.614 2.796
H Ge Ti
1 1 1
Direct
0.162 0.000 0.000
0.668 0.333 0.667
0.169 0.667 0.333
```

=====

# TiGe2H

Crystalline TiGe2H at its relaxed geometry (GGA-PBE, Alexandria via LeMat-Bulk).

Properties
Symmetry: Fm-3m (225)
Crystal system: cubic

Structure (POSCAR):
```
TiGe2H
1.0
0.000 3.110 3.110
3.110 0.000 3.110
3.110 3.110 0.000
H Ge Ti
1 2 1
Direct
0.000 0.000 0.000
0.250 0.250 0.250
0.750 0.750 0.750
0.500 0.500 0.500
```

=====

Computed magnetic moment, in the same sequence as the records: 0.000 0.000 0.000 0.002 0.000 0.000 0.000 0.000 0.000 0.000 0.000 0.621 μB/cell.
Computed raw total energy, in the same sequence as the records: -0.4135 -0.3408 -0.3590 -0.4523 -0.4739 -0.4991 -0.4422 -0.4384 -0.4447 -0.3451 -0.4201 -0.3380 Ry per atom.